Compound: CoAsNF2
Source: Alexandria via LeMat-Bulk
Functional: PBE with a Hubbard U
Structure: relaxed

Cell: 3.9784 3.9784 3.7337 Å, 90.00 90.00 90.00°
With the nearest neighbours (Å) after each atom.
Atoms (fractional coordinates):
As1 0.5000 0.5000 0.5000  8 F 2.73, 4 N 2.81
N1 0.0000 0.0000 0.5000  2 Co 1.87
Co1 0.0000 0.0000 0.0000  2 N 1.87, 4 F 1.99
F1 0.0000 0.5000 0.0000  2 Co 1.99
F2 0.5000 0.0000 0.0000  2 Co 1.99

- Space-group type: P4/mmm
- Relative energy among the computed polymorphs: 0.000 eV/atom